[1]
Computed, not measured: a geometry-optimized Ge3PPb structure at the GGA-PBE level of DFT.

a = 5.3842 Å, b = 5.3842 Å, c = 5.3842 Å
α = 90.00°, β = 90.00°, γ = 90.00°
Positions (direct):
Ge (0.0000, 0.0000, 0.5000)
Ge (0.0000, 0.5000, 0.0000)
Ge (0.5000, 0.0000, 0.0000)
P (0.5000, 0.5000, 0.5000)
Pb (0.0000, 0.0000, 0.0000)

Results
- energy above the lowest structure with this stoichiometry (meV/atom) = 917
- symmetry = No. 221
- energy (Ha/atom) = -0.1180
- Fermi-level density of states (states/eV per atom) = 0.405
- ΔH_f (0 K) (eV/atom) = 1.382
- crystal system = cubic
- V (Å³/cell) = 156

---

[2]
Computed, not measured: a geometry-optimized K2SrGa structure at the GGA-PBE level of DFT.

a = 4.0701 Å, b = 4.0701 Å, c = 43.4693 Å
α = 90.00°, β = 90.00°, γ = 120.00°
Positions (direct):
K (0.0000, 0.0000, 0.0780)
K (0.0000, 0.0000, 0.9220)
K (0.3333, 0.6667, 0.5886)
K (0.3333, 0.6667, 0.7447)
K (0.6667, 0.3333, 0.2553)
K (0.6667, 0.3333, 0.4114)
Sr (0.0000, 0.0000, 0.5000)
Sr (0.3333, 0.6667, 0.1667)
Sr (0.6667, 0.3333, 0.8333)
Ga (0.0000, 0.0000, 0.0000)
Ga (0.3333, 0.6667, 0.6667)
Ga (0.6667, 0.3333, 0.3333)

Results
- symmetry = No. 166
- energy (Ha/atom) = -0.0508
- Fermi-level density of states (states/eV per atom) = 0.991
- ΔH_f (0 K) (eV/atom) = 0.345
- crystal system = trigonal
- V (Å³/cell) = 624

---

[3]
Computed, not measured: a geometry-optimized BAsP2I structure at the GGA-PBE level of DFT.

a = 5.1404 Å, b = 5.1404 Å, c = 4.3653 Å
α = 90.00°, β = 90.00°, γ = 90.00°
Positions (direct):
B (0.0000, 0.0000, 0.0000)
As (0.5000, 0.5000, 0.0000)
P (0.0000, 0.5000, 0.5000)
P (0.5000, 0.0000, 0.5000)
I (0.0000, 0.0000, 0.5000)

Results
- symmetry = No. 123
- energy (Ha/atom) = -0.1008
- Fermi-level density of states (states/eV per atom) = 0.684
- crystal system = tetragonal
- V (Å³/cell) = 115